Material: AlTcTe2
Method: DFT, GGA-PBE
State: relaxed

POSCAR file:
```
AlTcTe2
1.0
-1.156 -3.273 3.438
2.628 -4.093 0.458
2.917 -0.609 3.872
Al Te Tc
1 2 1
Direct
0.500 0.500 0.500
0.250 0.250 0.250
0.000 0.000 0.000
0.750 0.750 0.750
```

Calculated values
Volume in A^3/atom: 20.6
Formation energy (no corrections) in kJ per mole of atoms: 66
Spin magnetization in μB per cell: 0.00
SG: F-43m (216)
Crystal system: cubic